(1)
Computed, not measured: a geometry-optimized Ta2VAu structure at the GGA-PBE level of DFT.

Geometry as CIF:
```
data_Ta2VAu
_cell_length_a 4.185
_cell_length_b 4.185
_cell_length_c 3.854
_cell_angle_alpha 90.00
_cell_angle_beta 90.00
_cell_angle_gamma 90.00
_symmetry_space_group_name_H-M 'P 4/m m m'
_symmetry_Int_Tables_number 123
_symmetry_space_group_name_Hall '-P 4 2'
loop_
_atom_site_label
_atom_site_fract_x
_atom_site_fract_y
_atom_site_fract_z
Ta1 0.000 0.500 0.000
V1 0.000 0.000 0.500
Au1 0.500 0.500 0.500
```

Properties
Total energy ... -35.9 eV/f.u.
Total magnetization ... 0.0001 μB per atom
DFT formation energy ... 0.05 eV per atom



(2)
Computed, not measured: a geometry-optimized HoThAsSe structure at the GGA-PBE level of DFT.

Geometry as CIF:
```
data_HoThAsSe
_cell_length_a 4.1436
_cell_length_b 4.1436
_cell_length_c 20.5305
_cell_angle_alpha 90.00
_cell_angle_beta 90.00
_cell_angle_gamma 120.00
_symmetry_space_group_name_H-M 'R 3 m'
_symmetry_Int_Tables_number 160
_symmetry_space_group_name_Hall 'R 3 -2"'
loop_
_atom_site_label
_atom_site_fract_x
_atom_site_fract_y
_atom_site_fract_z
Ho1 0.0000 0.0000 0.0000
Th1 0.0000 0.0000 0.4931
As1 0.0000 0.0000 0.7419
Se1 0.0000 0.0000 0.2509
```

Properties
Formation energy from raw total energies ... -1.5655 eV/atom
Total energy ... -26.4 eV/f.u.
Total magnetization ... 0.0000 μB per atom



total energy of number 1 (Ta2VAu)?
-35.9 eV/f.u.



What did the first record say?
Computed, not measured: a geometry-optimized Ta2VAu structure at the GGA-PBE level of DFT.

Geometry as CIF:
```
data_Ta2VAu
_cell_length_a 4.185
_cell_length_b 4.185
_cell_length_c 3.854
_cell_angle_alpha 90.00
_cell_angle_beta 90.00
_cell_angle_gamma 90.00
_symmetry_space_group_name_H-M 'P 4/m m m'
_symmetry_Int_Tables_number 123
_symmetry_space_group_name_Hall '-P 4 2'
loop_
_atom_site_label
_atom_site_fract_x
_atom_site_fract_y
_atom_site_fract_z
Ta1 0.000 0.500 0.000
V1 0.000 0.000 0.500
Au1 0.500 0.500 0.500
```

Properties
Total energy ... -35.9 eV/f.u.
Total magnetization ... 0.0001 μB per atom
DFT formation energy ... 0.05 eV per atom



Number 2 is which compound?
HoThAsSe